# AcNiPb (PBE, relaxed)
data_AcNiPb
_symmetry_space_group_name_H-M 'P 1'
_symmetry_Int_Tables_number 1
_cell_length_a 5.1082
_cell_length_b 5.1082
_cell_length_c 5.1082
_cell_angle_alpha 60.00
_cell_angle_beta 60.00
_cell_angle_gamma 60.00
loop_
_symmetry_equiv_pos_as_xyz
'x,y,z'
loop_
_atom_site_label
_atom_site_type_symbol
_atom_site_fract_x
_atom_site_fract_y
_atom_site_fract_z
Ac1 Ac 0.2500 0.2500 0.2500
Pb1 Pb 0.0000 0.0000 0.0000
Ni1 Ni 0.7500 0.7500 0.7500
# Excess energy over the best structure of this formula in the dataset (meV/atom): 0
# Spin magnetization (Bohr magnetons per cell): 1.00
# Total energy (eV/cell): -12.66
# Crystal system: cubic

# AcNiPd (PBE, relaxed)
data_AcNiPd
_symmetry_space_group_name_H-M 'P 1'
_symmetry_Int_Tables_number 1
_cell_length_a 4.6301
_cell_length_b 4.6301
_cell_length_c 4.6301
_cell_angle_alpha 60.00
_cell_angle_beta 60.00
_cell_angle_gamma 60.00
loop_
_symmetry_equiv_pos_as_xyz
'x,y,z'
loop_
_atom_site_label
_atom_site_type_symbol
_atom_site_fract_x
_atom_site_fract_y
_atom_site_fract_z
Ac1 Ac 0.2500 0.2500 0.2500
Ni1 Ni 0.0000 0.0000 0.0000
Pd1 Pd 0.7500 0.7500 0.7500
# Excess energy over the best structure of this formula in the dataset (meV/atom): 0
# Spin magnetization (Bohr magnetons per cell): 0.01
# Total energy (eV/cell): -15.74
# Crystal system: cubic

# AcNiPd (PBE, relaxed)
data_AcNiPd
_symmetry_space_group_name_H-M 'P 1'
_symmetry_Int_Tables_number 1
_cell_length_a 4.8221
_cell_length_b 4.8221
_cell_length_c 4.8221
_cell_angle_alpha 60.00
_cell_angle_beta 60.00
_cell_angle_gamma 60.00
loop_
_symmetry_equiv_pos_as_xyz
'x,y,z'
loop_
_atom_site_label
_atom_site_type_symbol
_atom_site_fract_x
_atom_site_fract_y
_atom_site_fract_z
Ni1 Ni 0.2500 0.2500 0.2500
Pd1 Pd 0.7500 0.7500 0.7500
Ac1 Ac 0.0000 0.0000 0.0000
# Excess energy over the best structure of this formula in the dataset (meV/atom): 485
# Spin magnetization (Bohr magnetons per cell): 0.23
# Total energy (eV/cell): -14.28
# Crystal system: cubic

# AcPmNi (PBE, relaxed)
data_AcPmNi
_symmetry_space_group_name_H-M 'P 1'
_symmetry_Int_Tables_number 1
_cell_length_a 5.0414
_cell_length_b 5.0414
_cell_length_c 5.0414
_cell_angle_alpha 60.00
_cell_angle_beta 60.00
_cell_angle_gamma 60.00
loop_
_symmetry_equiv_pos_as_xyz
'x,y,z'
loop_
_atom_site_label
_atom_site_type_symbol
_atom_site_fract_x
_atom_site_fract_y
_atom_site_fract_z
Ni1 Ni 0.0000 0.0000 0.0000
Pm1 Pm 0.7500 0.7500 0.7500
Ac1 Ac 0.2500 0.2500 0.2500
# Spin magnetization (Bohr magnetons per cell): 0.02
# Total energy (eV/cell): -14.42
# Crystal system: cubic

# AcPrNi (PBE, relaxed)
data_AcPrNi
_symmetry_space_group_name_H-M 'P 1'
_symmetry_Int_Tables_number 1
_cell_length_a 5.0684
_cell_length_b 5.0684
_cell_length_c 5.0684
_cell_angle_alpha 60.00
_cell_angle_beta 60.00
_cell_angle_gamma 60.00
loop_
_symmetry_equiv_pos_as_xyz
'x,y,z'
loop_
_atom_site_label
_atom_site_type_symbol
_atom_site_fract_x
_atom_site_fract_y
_atom_site_fract_z
Ac1 Ac 0.2500 0.2500 0.2500
Ni1 Ni 0.0000 0.0000 0.0000
Pr1 Pr 0.7500 0.7500 0.7500
# Excess energy over the best structure of this formula in the dataset (meV/atom): 0
# Spin magnetization (Bohr magnetons per cell): 0.13
# Total energy (eV/cell): -14.43
# Crystal system: cubic

# RbAcNi (PBE, relaxed)
data_RbAcNi
_symmetry_space_group_name_H-M 'P 1'
_symmetry_Int_Tables_number 1
_cell_length_a 5.2825
_cell_length_b 5.2825
_cell_length_c 5.2825
_cell_angle_alpha 60.00
_cell_angle_beta 60.00
_cell_angle_gamma 60.00
loop_
_symmetry_equiv_pos_as_xyz
'x,y,z'
loop_
_atom_site_label
_atom_site_type_symbol
_atom_site_fract_x
_atom_site_fract_y
_atom_site_fract_z
Rb1 Rb 0.5000 0.5000 0.5000
Ni1 Ni 0.2500 0.2500 0.2500
Ac1 Ac 0.0000 0.0000 0.0000
# Excess energy over the best structure of this formula in the dataset (meV/atom): 0
# Spin magnetization (Bohr magnetons per cell): 0.00
# Total energy (eV/cell): -9.18
# Crystal system: cubic